Record 1
Dy2TmMg6 | Alexandria | GGA-PBE | optimized geometry; space-group type = No. 12; raw total energy = -0.194 Ry/atom
1.0
-0.519 1.401 -2.918
7.176 -4.343 -3.362
-7.155 -6.618 5.422
Dy Tm Mg
2 1 6
Direct
0.666 0.667 0.333
0.334 0.333 0.667
0.000 0.000 0.000
0.164 0.332 0.332
0.836 0.000 0.668
0.836 0.668 0.668
0.500 0.332 0.000
0.164 0.000 0.332
0.500 0.668 0.000

Record 2
DyTm14Mg | Alexandria | GGA-PBE | optimized geometry; space-group type = No. 38; raw total energy = -0.315 Ry/atom
1.0
-4.160 -5.206 2.108
6.910 -0.979 -0.378
1.071 3.453 10.641
Dy Tm Mg
1 14 1
Direct
0.711 0.289 0.500
0.043 0.957 0.000
0.542 0.458 0.000
0.205 0.289 0.500
0.043 0.460 0.000
0.711 0.795 0.500
0.540 0.957 0.000
0.375 0.126 0.749
0.375 0.126 0.251
0.874 0.625 0.749
0.874 0.625 0.251
0.375 0.625 0.748
0.375 0.625 0.252
0.875 0.125 0.752
0.875 0.125 0.248
0.208 0.792 0.500

Record 3
Dy7Tm2Mg2 | Alexandria | GGA-PBE | optimized geometry; space-group type = No. 12; energy above the most stable polymorph in this dataset = 0.000 eV/atom
1.0
-5.265 -1.840 0.892
-2.097 -4.112 -6.616
0.708 -7.222 3.525
Dy Tm Mg
7 2 2
Direct
0.185 0.015 0.602
0.815 0.398 0.985
0.815 0.985 0.398
0.185 0.602 0.015
0.000 0.000 0.000
0.672 0.778 0.778
0.328 0.222 0.222
0.500 0.220 0.780
0.500 0.780 0.220
0.785 0.444 0.444
0.215 0.556 0.556

- Which formula does entry 3 have?
  Dy7Tm2Mg2

- What is the formula in the third record?
  Dy7Tm2Mg2